Material: Ba3Pr2UP6
Method: DFT, PBE-GGA
State: optimized geometry

Cell lengths 7.426, 7.426, 7.748 Å; angles 99.21, 99.21, 119.97 degrees
Positions (direct):
P  0.932  0.625  0.795
P  0.068  0.375  0.205
P  0.764  0.764  0.206
P  0.375  0.068  0.205
P  0.236  0.236  0.794
P  0.625  0.932  0.795
Ba  0.500  0.500  0.500
Ba  0.171  0.829  0.500
Ba  0.829  0.171  0.500
Pr  0.334  0.666  0.000
Pr  0.666  0.334  0.000
U  0.000  0.000  0.000

Material: BaPPt2
Method: DFT, PBE-GGA
State: optimized geometry

For the density of states at the Fermi level, the calculation gives 1.32 states/eV/f.u.

Cell lengths 5.115, 5.115, 7.832 Å; angles 49.38, 49.38, 44.57 degrees
Positions (direct):
Pt  0.903  0.903  0.235
Pt  0.597  0.597  0.265
P  0.250  0.250  0.250
Ba  0.750  0.750  0.750

Material: Ba2PPt5
Method: DFT, PBE-GGA
State: optimized geometry

For the density of states at the Fermi level, the calculation gives 1.89 states/eV/f.u.

Cell lengths 5.907, 5.907, 6.715 Å; angles 63.91, 63.90, 90.00 degrees
Positions (direct):
Pt  0.240  0.718  0.041
Pt  0.718  0.240  0.041
Pt  0.718  0.718  0.041
Pt  0.291  0.291  0.418
Pt  0.240  0.240  0.041
Ba  0.726  0.226  0.548
Ba  0.226  0.726  0.548
P  0.062  0.062  0.876

Material: BaPPt2
Method: DFT, PBE-GGA
State: optimized geometry

For the density of states at the Fermi level, the calculation gives 1.51 states/eV/f.u.

Cell lengths 3.849, 5.358, 4.989 Å; angles 89.98, 90.00, 90.00 degrees
Positions (direct):
Ba  0.500  0.250  0.250
Pt  0.000  0.499  0.750
Pt  0.000  0.001  0.750
P  0.500  0.750  0.750

Material: BaP2Pt
Method: DFT, PBE-GGA
State: optimized geometry

For the density of states at the Fermi level, the calculation gives 2.91 states/eV/f.u.

Cell lengths 4.478, 4.543, 6.244 Å; angles 43.34, 90.00, 90.00 degrees
Positions (direct):
Ba  0.000  0.000  0.500
Pt  0.500  0.500  0.500
P  0.000  0.000  0.000
P  0.500  0.500  0.000

Material: BaPPt2
Method: DFT, PBE-GGA
State: optimized geometry

For the density of states at the Fermi level, the calculation gives 2.41 states/eV/f.u.

Cell lengths 3.264, 3.264, 7.677 Å; angles 90.00, 90.00, 90.06 degrees
Positions (direct):
Pt  0.000  0.000  0.929
Pt  0.000  0.000  0.571
Ba  0.500  0.500  0.250
P  0.500  0.500  0.750

Material: Ba2P2Pt7
Method: DFT, PBE-GGA
State: optimized geometry

For the density of states at the Fermi level, the calculation gives 5.76 states/eV/f.u.

Cell lengths 4.221, 9.120, 6.978 Å; angles 111.78, 78.96, 93.05 degrees
Positions (direct):
Pt  0.000  0.000  0.000
Pt  0.949  0.907  0.596
Pt  0.080  0.528  0.828
Pt  0.340  0.369  0.386
Pt  0.660  0.631  0.614
Pt  0.920  0.472  0.172
Pt  0.051  0.093  0.404
Ba  0.499  0.231  0.816
Ba  0.501  0.769  0.184
P  0.154  0.749  0.740
P  0.846  0.251  0.260

Material: BaP2Pt
Method: DFT, PBE-GGA
State: optimized geometry

For the density of states at the Fermi level, the calculation gives 3.54 states/eV/f.u.

Cell lengths 5.320, 5.320, 6.448 Å; angles 52.81, 52.81, 45.54 degrees
Positions (direct):
P  0.409  0.409  0.592
P  0.091  0.091  0.908
Pt  0.750  0.750  0.750
Ba  0.250  0.250  0.250

Material: Ba4PPt
Method: DFT, PBE-GGA
State: optimized geometry

For the density of states at the Fermi level, the calculation gives 5.37 states/eV/f.u. The value obtained for the energy above the lowest structure with this stoichiometry is 37 meV per atom.

Cell lengths 7.981, 8.027, 10.531 Å; angles 105.14, 104.97, 108.45 degrees
Positions (direct):
Ba  0.176  0.424  0.355
Ba  0.049  0.799  0.099
Ba  0.321  0.069  0.645
Ba  0.824  0.576  0.645
Ba  0.679  0.931  0.355
Ba  0.951  0.201  0.901
Ba  0.551  0.300  0.099
Ba  0.449  0.700  0.901
Pt  0.681  0.431  0.862
Pt  0.319  0.569  0.138
P  0.818  0.068  0.135
P  0.182  0.932  0.865

Material: BaPPt2
Method: DFT, PBE-GGA
State: optimized geometry

For the density of states at the Fermi level, the calculation gives 1.56 states/eV/f.u.

Cell lengths 5.298, 5.298, 8.509 Å; angles 71.86, 71.86, 90.00 degrees
Positions (direct):
Ba  0.000  0.000  0.000
Ba  0.750  0.250  0.500
P  0.500  0.500  0.000
P  0.250  0.750  0.500
Pt  0.374  0.625  0.250
Pt  0.376  0.125  0.250
Pt  0.875  0.626  0.750
Pt  0.375  0.624  0.750

Material: BaP2Pt
Method: DFT, PBE-GGA
State: optimized geometry

For the density of states at the Fermi level, the calculation gives 0.47 states/eV/f.u.

Cell lengths 3.957, 5.317, 4.595 Å; angles 82.39, 90.00, 90.00 degrees
Positions (direct):
P  0.000  0.349  0.515
P  0.000  0.151  0.985
Ba  0.500  0.750  0.750
Pt  0.500  0.250  0.250

Material: BaPPt2
Method: DFT, PBE-GGA
State: optimized geometry

For the density of states at the Fermi level, the calculation gives 2.76 states/eV/f.u.

Cell lengths 4.663, 4.663, 4.010 Å; angles 90.00, 90.00, 98.98 degrees
Positions (direct):
Pt  0.500  0.500  0.000
Pt  0.000  0.000  0.000
P  0.000  0.500  0.500
Ba  0.500  0.000  0.500

Material: BaP2Pt
Method: DFT, PBE-GGA
State: optimized geometry

For the density of states at the Fermi level, the calculation gives 2.80 states/eV/f.u.

Cell lengths 3.571, 3.571, 6.675 Å; angles 90.00, 90.00, 90.00 degrees
Positions (direct):
P  0.000  0.000  0.408
P  0.000  0.000  0.092
Ba  0.500  0.500  0.750
Pt  0.500  0.500  0.250

Material: BaPPt3
Method: DFT, PBE-GGA
State: optimized geometry

For the density of states at the Fermi level, the calculation gives 4.75 states/eV/f.u. The value obtained for the energy above the lowest structure with this stoichiometry is 197 meV per atom.

Cell lengths 4.743, 4.743, 4.743 Å; angles 90.00, 90.00, 90.00 degrees
Positions (direct):
Pt  0.500  0.000  0.000
Pt  0.000  0.000  0.500
Pt  0.000  0.500  0.000
Ba  0.500  0.500  0.500
P  0.000  0.000  0.000

Material: BaP4Pt
Method: DFT, PBE-GGA
State: optimized geometry

Cell lengths 5.762, 5.762, 5.762 Å; angles 60.00, 60.00, 60.00 degrees
Positions (direct):
Pt  0.750  0.750  0.750
P  0.403  0.403  0.790
P  0.403  0.790  0.403
P  0.403  0.403  0.403
P  0.790  0.403  0.403
Ba  0.000  0.000  0.000

Material: Ba6PPt
Method: DFT, PBE-GGA
State: optimized geometry

For the density of states at the Fermi level, the calculation gives 9.06 states/eV/f.u.

Cell lengths 8.058, 8.058, 7.983 Å; angles 98.89, 98.89, 120.42 degrees
Positions (direct):
Ba  0.252  0.252  0.749
Ba  0.748  0.748  0.251
Ba  0.601  0.904  0.749
Ba  0.399  0.096  0.251
Ba  0.096  0.399  0.251
Ba  0.904  0.601  0.749
P  0.500  0.500  0.500
Pt  0.000  0.000  0.000

Material: BaPPt2
Method: DFT, PBE-GGA
State: optimized geometry

For the density of states at the Fermi level, the calculation gives 3.17 states/eV/f.u.

Cell lengths 6.033, 6.033, 3.026 Å; angles 75.52, 75.52, 119.54 degrees
Positions (direct):
Ba  0.500  0.000  0.500
Pt  0.000  0.000  0.000
Pt  0.500  0.500  0.000
P  0.000  0.500  0.500

Material: Ba2PPt
Method: DFT, PBE-GGA
State: optimized geometry

For the density of states at the Fermi level, the calculation gives 3.48 states/eV/f.u.

Cell lengths 5.704, 3.639, 5.704 Å; angles 90.00, 90.00, 90.00 degrees
Positions (direct):
Pt  0.500  0.625  0.875
P  0.000  0.625  0.375
Ba  0.500  0.125  0.375
Ba  0.000  0.125  0.875

Material: BaPPt2
Method: DFT, PBE-GGA
State: optimized geometry

For the density of states at the Fermi level, the calculation gives 4.01 states/eV/f.u.

Cell lengths 4.936, 4.936, 4.936 Å; angles 60.00, 60.00, 60.00 degrees
Positions (direct):
Pt  0.250  0.250  0.250
Pt  0.000  0.000  0.000
P  0.750  0.750  0.750
Ba  0.500  0.500  0.500

Material: Ba8P2Pt
Method: DFT, PBE-GGA
State: optimized geometry

For the density of states at the Fermi level, the calculation gives 10.76 states/eV/f.u.

Cell lengths 8.008, 8.504, 8.504 Å; angles 70.84, 75.78, 75.78 degrees
Positions (direct):
Ba  0.249  0.641  0.059
Ba  0.745  0.863  0.863
Ba  0.751  0.359  0.941
Ba  0.255  0.137  0.137
Ba  0.743  0.430  0.430
Ba  0.257  0.570  0.570
Ba  0.751  0.941  0.359
Ba  0.249  0.059  0.641
P  0.533  0.690  0.690
P  0.467  0.310  0.310
Pt  0.000  0.000  0.000

| no. | total magnetization (μB per atom) | formation energy (meV/atom) |
| --- | --- | --- |
| 1 | 0.00 | -1147.6 |
| 2 | 0.00 | -687.2 |
| 3 | 0.00 | -745.9 |
| 4 | 0.00 | -734.4 |
| 5 | 0.00 | 184.2 |
| 6 | 0.00 | -120.1 |
| 7 | 0.00 | -538.3 |
| 8 | 0.00 | -686.9 |
| 9 | 0.03 | -661.5 |
| 10 | 0.00 | -920.6 |
| 11 | 0.00 | -894.8 |
| 12 | 0.00 | 109.6 |
| 13 | 0.00 | -210.1 |
| 14 | 0.00 | -504.2 |
| 15 | 0.00 | -21.3 |
| 16 | 0.00 | -508.6 |
| 17 | 0.00 | 162.1 |
| 18 | 0.00 | -632.6 |
| 19 | 0.00 | 161.5 |
| 20 | 0.05 | -554.0 |